Compound: SrAgAs2Se
Source: Alexandria via LeMat-Bulk
Functional: PBE
Structure: relaxed

Energy   -17.748 eV/f.u.
Energy above the lowest structure with this stoichiometry   0.000 eV/atom
E_form (uncorrected)   -0.09 eV per atom
Calculated volume   134.8 Å³/cell

abc: 5.0221 5.0221 5.3451
angles: 90.00 90.00 90.00
Last column: nearest neighbours and their distance in Å.
Space group P4/mmm (No. 123)
One atom of each set of equivalent atoms:
Sr: 0.0000 0.0000 0.0000 (multiplicity 1)  4 Se 3.55, 8 As 3.67
Ag: 0.5000 0.5000 0.5000 (multiplicity 1)  4 As 2.51, 2 Se 2.67
As: 0.0000 0.5000 0.5000 (multiplicity 2)  2 Ag 2.51
Se: 0.5000 0.5000 0.0000 (multiplicity 1)  2 Ag 2.67

=====

Compound: SrAgAsSe2
Source: Alexandria via LeMat-Bulk
Functional: PBE
Structure: relaxed

Energy   -17.585 eV/f.u.
Energy above the lowest structure with this stoichiometry   0.000 eV/atom
E_form (uncorrected)   -0.29 eV per atom
Calculated volume   136.4 Å³/cell

abc: 5.2814 5.2814 4.8887
angles: 90.00 90.00 90.00
Last column: nearest neighbours and their distance in Å.
Space group P4/mmm (No. 123)
One atom of each set of equivalent atoms:
Sr: 0.0000 0.0000 0.0000 (multiplicity 1)  8 Se 3.60, 4 As 3.73
Ag: 0.5000 0.5000 0.5000 (multiplicity 1)  2 As 2.44, 4 Se 2.64
As: 0.5000 0.5000 0.0000 (multiplicity 1)  2 Ag 2.44
Se: 0.0000 0.5000 0.5000 (multiplicity 2)  2 Ag 2.64

=====

Compound: SrAgAs2Se
Source: Alexandria via LeMat-Bulk
Functional: PBE
Structure: relaxed

Energy   -13.225 eV/f.u.
Energy above the lowest structure with this stoichiometry   0.905 eV/atom
E_form (uncorrected)   0.82 eV per atom
Calculated volume   184.3 Å³/cell

abc: 5.7047 5.7047 5.6622
angles: 90.00 90.00 90.00
Last column: nearest neighbours and their distance in Å.
Space group P4/mmm (No. 123)
One atom of each set of equivalent atoms:
Sr: 0.0000 0.0000 0.0000 (multiplicity 1)  2 Se 2.83, 4 As 2.85
Ag: 0.5000 0.5000 0.5000 (multiplicity 1)  8 As 4.02, 4 Se 4.03
As: 0.0000 0.5000 0.0000 (multiplicity 2)  2 Sr 2.85
Se: 0.0000 0.0000 0.5000 (multiplicity 1)  2 Sr 2.83

=====

Compound: TaAgAs2Se
Source: Alexandria via LeMat-Bulk
Functional: PBE
Structure: relaxed

Energy   -20.932 eV/f.u.
Energy above the lowest structure with this stoichiometry   1.000 eV/atom
E_form (uncorrected)   1.31 eV per atom
Calculated volume   116.0 Å³/cell

abc: 4.8465 4.8465 4.9384
angles: 90.00 90.00 90.00
Last column: nearest neighbours and their distance in Å.
Space group P4/mmm (No. 123)
One atom of each set of equivalent atoms:
Ta: 0.0000 0.0000 0.0000 (multiplicity 1)  4 Se 3.43, 8 As 3.46
Ag: 0.5000 0.5000 0.5000 (multiplicity 1)  4 As 2.42, 2 Se 2.47
As: 0.0000 0.5000 0.5000 (multiplicity 2)  2 Ag 2.42
Se: 0.5000 0.5000 0.0000 (multiplicity 1)  2 Ag 2.47

=====

Compound: TaAgAs2Se
Source: Alexandria via LeMat-Bulk
Functional: PBE
Structure: relaxed

Energy   -25.934 eV/f.u.
Energy above the lowest structure with this stoichiometry   0.000 eV/atom
E_form (uncorrected)   0.31 eV per atom
Calculated volume   126.4 Å³/cell

abc: 5.0394 5.0394 4.9789
angles: 90.00 90.00 90.00
Last column: nearest neighbours and their distance in Å.
Space group P4/mmm (No. 123)
One atom of each set of equivalent atoms:
Ta: 0.0000 0.0000 0.0000 (multiplicity 1)  2 Se 2.49, 4 As 2.52
Ag: 0.5000 0.5000 0.5000 (multiplicity 1)  8 As 3.54, 4 Se 3.56
As: 0.0000 0.5000 0.0000 (multiplicity 2)  2 Ta 2.52
Se: 0.0000 0.0000 0.5000 (multiplicity 1)  2 Ta 2.49

=====

Compound: Ag2TeAsSe4
Source: Alexandria via LeMat-Bulk
Functional: PBE
Structure: relaxed

Energy   -27.890 eV/f.u.
E_form (uncorrected)   -0.06 eV per atom
Calculated volume   191.4 Å³/cell

abc: 5.6832 5.8575 7.0015
angles: 114.70 112.40 90.96
Last column: nearest neighbours and their distance in Å.
Space group P1 (No. 1)
One atom of each set of equivalent atoms:
Ag: 0.0000 0.0000 0.0000 (multiplicity 1)  6 Se 2.80-3.00
Ag: 0.2392 0.7601 0.4895 (multiplicity 1)  5 Se 2.76-3.08
Te: 0.5184 0.4898 0.0070 (multiplicity 1)  6 Se 2.83-2.97
As: 0.7331 0.2523 0.4828 (multiplicity 1)  3 Se 2.47-2.64
Se: 0.0084 0.4832 0.9903 (multiplicity 1)  2 Te 2.83-2.85, 3 Ag 2.86-3.00, 1 As 2.93
Se: 0.3120 0.2367 0.5077 (multiplicity 1)  1 As 2.47, 1 Ag 2.76
Se: 0.5194 0.0049 0.0244 (multiplicity 1)  1 As 2.64, 2 Ag 2.80-2.89, 1 Te 2.89
Se: 0.7637 0.6867 0.5015 (multiplicity 1)  1 As 2.49, 1 Ag 2.77